An optimized crystal structure of AcSmCuRh. Source: the Alexandria database, functional PBE.

POSCAR file:
```
AcSmCuRh
1.0
0.0000 3.6439 3.6439
3.6439 0.0000 3.6439
3.6439 3.6439 0.0000
Ac Sm Cu Rh
1 1 1 1
Direct
0.0000 0.0000 0.0000 Ac
0.5000 0.5000 0.5000 Sm
0.7500 0.7500 0.7500 Cu
0.2500 0.2500 0.2500 Rh
```

Results
**Energy**: -5.43 eV per atom
**Energy of formation from the pure elements**: -34.7 kJ per mole of atoms
**D(E_F)**: 3.92 states/eV/f.u.
**Calculated density**: 9.332 Mg/m³
**Spin magnetization**: 0.00 μB/cell